The following is a DFT calculation (GGA-PBE) of a relaxed AcHoPaO6 crystal.

abc: 5.273 5.273 10.992
angles: 90.00 90.00 90.00
Fractional positions:
Ac  0.000  0.000  0.000
Ac  0.500  0.500  0.500
Ho  0.000  0.000  0.331
Ho  0.500  0.500  0.831
Pa  0.000  0.000  0.666
Pa  0.500  0.500  0.166
O  0.174  0.174  0.504
O  0.195  0.195  0.811
O  0.207  0.207  0.178
O  0.293  0.707  0.678
O  0.305  0.695  0.311
O  0.326  0.674  0.004
O  0.674  0.326  0.004
O  0.695  0.305  0.311
O  0.707  0.293  0.678
O  0.793  0.793  0.178
O  0.805  0.805  0.811
O  0.826  0.826  0.504

Values from the calculation:
**DOS(E_F)**: 17.23 states/eV per cell
**Formation energy from raw total energies**: -3.25 eV per atom
**Mass density**: 7.81 g/cm³

---

The following is a DFT calculation (GGA-PBE) of a relaxed ZrSnTe2 crystal.

abc: 7.144 7.144 12.596
angles: 90.00 90.00 90.00
Fractional positions:
Zr  0.000  0.000  0.000
Zr  0.000  0.500  0.250
Zr  0.500  0.000  0.750
Zr  0.500  0.500  0.500
Sn  0.000  0.000  0.500
Sn  0.000  0.500  0.750
Sn  0.500  0.000  0.250
Sn  0.500  0.500  0.000
Te  0.215  0.250  0.125
Te  0.250  0.715  0.375
Te  0.250  0.785  0.875
Te  0.285  0.250  0.625
Te  0.715  0.750  0.625
Te  0.750  0.215  0.875
Te  0.750  0.285  0.375
Te  0.785  0.750  0.125

Values from the calculation:
**DOS(E_F)**: 11.07 states/eV per cell
**Formation energy from raw total energies**: -0.07 eV per atom
**Mass density**: 4.81 g/cm³